# 1
VASP calculation (PBE) on an optimized crystal structure of TcNiGe2.

Lattice parameters (Å, degrees): 2.931 2.931 8.666 80.26 80.26 60.00
Sites, in units of the cell vectors:
Ge  0.910  0.910  0.270
Tc  0.500  0.500  0.500
Ge  0.090  0.090  0.730
Ni  0.000  0.000  0.000

## Properties
The space group is No. 166. As for the formation energy: 0.13 eV/atom. As for the density of states at the Fermi level: 3.03 states/eV/cell. Its energy above the most stable polymorph in this dataset is 1.51 eV/f.u. For the theoretical density, the calculation gives 7.93 Mg/m³.

---

# 2
VASP calculation (PBE) on an optimized crystal structure of Ge2SbPd8.

Lattice parameters (Å, degrees): 4.010 7.231 7.372 119.37 105.78 90.00
Sites, in units of the cell vectors:
Pd  0.146  0.146  0.292
Ge  0.820  0.320  0.640
Pd  0.000  0.308  0.000
Pd  0.334  0.554  0.669
Pd  0.666  0.885  0.331
Sb  0.500  0.000  0.000
Pd  0.666  0.446  0.331
Ge  0.180  0.680  0.360
Pd  0.334  0.115  0.669
Pd  0.854  0.854  0.708
Pd  0.000  0.692  0.000

## Properties
The space group is No. 71. As for the density of states at the Fermi level: 3.42 states/eV/cell. Its energy above the most stable polymorph in this dataset is 0.28 eV/f.u. The calculation puts the energy relative to the elements, uncorrected at -0.422 eV/atom. For the theoretical density, the calculation gives 10.49 Mg/m³.

---

# 3
VASP calculation (PBE) on an optimized crystal structure of AcErTe3.

Lattice parameters (Å, degrees): 4.591 8.479 17.506 90.00 90.00 90.00
Sites, in units of the cell vectors:
Ac  0.750  0.861  0.803
Te  0.250  0.010  0.398
Er  0.250  0.274  0.958
Te  0.250  0.876  0.945
Ac  0.750  0.361  0.697
Te  0.750  0.124  0.055
Te  0.750  0.844  0.211
Ac  0.250  0.639  0.303
Te  0.750  0.490  0.898
Te  0.750  0.344  0.289
Te  0.250  0.376  0.555
Er  0.750  0.226  0.458
Te  0.750  0.624  0.445
Te  0.250  0.656  0.711
Er  0.750  0.726  0.042
Er  0.250  0.774  0.542
Ac  0.250  0.139  0.197
Te  0.250  0.510  0.102
Te  0.750  0.990  0.602
Te  0.250  0.156  0.789

## Properties
The space group is No. 62. As for the density of states at the Fermi level: 0.53 states/eV/cell. Its energy above the most stable polymorph in this dataset is 0.16 eV/f.u. The calculation puts the energy relative to the elements, uncorrected at -1.473 eV/atom. For the theoretical density, the calculation gives 7.57 Mg/m³.

---

# 4
VASP calculation (PBE) on an optimized crystal structure of V4GaH.

Lattice parameters (Å, degrees): 4.893 5.187 6.169 107.15 107.86 87.13
Sites, in units of the cell vectors:
V  0.699  0.398  0.647
Ga  0.900  0.792  0.052
V  0.508  0.005  0.772
V  0.308  0.603  0.840
H  0.500  0.000  0.500
Ga  0.100  0.208  0.948
V  0.301  0.602  0.353
V  0.885  0.819  0.546
V  0.692  0.397  0.160
V  0.115  0.181  0.454
H  0.000  0.500  0.500
V  0.492  0.995  0.228

## Properties
The space group is No. 2. As for the density of states at the Fermi level: 11.91 states/eV/cell. Its energy above the most stable polymorph in this dataset is 0.43 eV/f.u. For the theoretical density, the calculation gives 6.41 Mg/m³.

---

# 5
VASP calculation (PBE) on an optimized crystal structure of Sr2CdTc.

Lattice parameters (Å, degrees): 5.337 5.337 5.337 60.00 60.00 60.00
Sites, in units of the cell vectors:
Tc  0.750  0.750  0.750
Cd  0.500  0.500  0.500
Sr  0.250  0.250  0.250
Sr  0.000  0.000  0.000

## Properties
The space group is No. 216. As for the formation energy: 0.62 eV/atom. As for the density of states at the Fermi level: 5.84 states/eV/cell. For the theoretical density, the calculation gives 5.96 Mg/m³.

---

# 6
VASP calculation (PBE) on an optimized crystal structure of KCa2AlIr.

Lattice parameters (Å, degrees): 5.642 5.642 4.921 90.00 90.00 90.00
Sites, in units of the cell vectors:
Al  0.000  0.000  0.500
K  0.500  0.500  0.500
Ir  0.000  0.000  0.000
Ca  0.500  0.000  0.000
Ca  0.000  0.500  0.000

## Properties
The space group is No. 123. As for the formation energy: -0.22 eV/atom. As for the density of states at the Fermi level: 2.56 states/eV/cell. For the theoretical density, the calculation gives 3.59 Mg/m³.